Density functional theory data (PBE) for RbSmCdSe3 after structural relaxation.

abc: 9.346 9.346 9.426
angles: 103.05 103.05 26.75
Fractional coordinates of all 12 atoms:
Rb  0.144  0.144  0.067
Rb  0.856  0.856  0.933
Sm  0.171  0.171  0.585
Sm  0.829  0.829  0.415
Cd  0.493  0.493  0.281
Cd  0.507  0.507  0.719
Se  0.000  0.000  0.500
Se  0.335  0.335  0.631
Se  0.337  0.337  0.215
Se  0.500  0.500  0.000
Se  0.663  0.663  0.785
Se  0.665  0.665  0.369

Output
Its magnetization is 0.00 μB/f.u. The total energy comes out at -4.1016 eV per atom. The calculated density is 5.39 g/cm³.